{"formula": "TbPr5Sm2Dy", "functional": "PBE", "state": "relaxed", "lattice_angstrom": [[-4.3659, 4.3659, 8.2926], [4.3659, -4.3659, 8.2926], [4.3659, 4.3659, -8.2926]], "species": ["Tb", "Tb", "Pr", "Pr", "Pr", "Pr", "Pr", "Pr", "Pr", "Pr", "Pr", "Pr", "Sm", "Sm", "Sm", "Sm", "Dy", "Dy"], "fractional_positions": [[0.2500, 0.7500, 0.5000], [0.7500, 0.2500, 0.5000], [0.0000, 0.0000, 0.0000], [0.0695, 0.5695, 0.9222], [0.1473, 0.0695, 0.5000], [0.3527, 0.8527, 0.9222], [0.4305, 0.3527, 0.5000], [0.5000, 0.5000, 0.0000], [0.5695, 0.6473, 0.5000], [0.6473, 0.1473, 0.0778], [0.8527, 0.9305, 0.5000], [0.9305, 0.4305, 0.0778], [0.1203, 0.3797, 0.5000], [0.3797, 0.8797, 0.2594], [0.6203, 0.1203, 0.7406], [0.8797, 0.6203, 0.5000], [0.2500, 0.2500, 0.0000], [0.7500, 0.7500, 0.0000]], "formation_enthalpy_0k_kj_per_mol_atoms": 27, "spacegroup": "No. 140", "dft_energy_ev_per_atom": -4.449}

{"formula": "Tb4Pr2SmDy", "functional": "PBE", "state": "relaxed", "lattice_angstrom": [[5.0947, 0.0000, 0.0000], [0.0000, 5.1166, 0.0000], [-0.0106, 0.0000, 10.1590]], "species": ["Tb", "Tb", "Tb", "Tb", "Pr", "Pr", "Sm", "Dy"], "fractional_positions": [[0.0000, 0.0000, 0.2485], [0.0000, 0.0000, 0.7515], [0.5003, 0.5000, 0.2490], [0.4997, 0.5000, 0.7510], [0.0000, 0.5000, 0.0000], [0.5000, 0.0000, 0.5000], [0.0000, 0.5000, 0.5000], [0.5000, 0.0000, 0.0000]], "formation_enthalpy_0k_kj_per_mol_atoms": 2, "spacegroup": "No. 10", "dft_energy_ev_per_atom": -4.658}

{"formula": "TbPr2Sm5Dy", "functional": "PBE", "state": "relaxed", "lattice_angstrom": [[-4.3457, 4.3457, 8.1434], [4.3457, -4.3457, 8.1434], [4.3457, 4.3457, -8.1434]], "species": ["Tb", "Tb", "Pr", "Pr", "Pr", "Pr", "Sm", "Sm", "Sm", "Sm", "Sm", "Sm", "Sm", "Sm", "Sm", "Sm", "Dy", "Dy"], "fractional_positions": [[0.2500, 0.2500, 0.0000], [0.7500, 0.7500, 0.0000], [0.1201, 0.6201, 0.7402], [0.3799, 0.1201, 0.5000], [0.6201, 0.8799, 0.5000], [0.8799, 0.3799, 0.2598], [0.0000, 0.0000, 0.0000], [0.0719, 0.1442, 0.5000], [0.1442, 0.6442, 0.0722], [0.3558, 0.4281, 0.5000], [0.4281, 0.9281, 0.0722], [0.5000, 0.5000, 0.0000], [0.5719, 0.0719, 0.9278], [0.6442, 0.5719, 0.5000], [0.8558, 0.3558, 0.9278], [0.9281, 0.8558, 0.5000], [0.2500, 0.7500, 0.5000], [0.7500, 0.2500, 0.5000]], "formation_enthalpy_0k_kj_per_mol_atoms": 26, "spacegroup": "No. 140", "dft_energy_ev_per_atom": -4.441}